First-principles (PBE-GGA) data for a geometry-optimized LuPuMnTc structure, as listed in the Alexandria database.

extended XYZ file:
```
4
Lattice="0.000 3.361 3.361 3.361 0.000 3.361 3.361 3.361 0.000" Properties=species:S:1:pos:R:3 pbc="T T T"
Lu 0.000 0.000 0.000
Pu 3.361 3.361 3.361
Mn 5.041 5.041 5.041
Tc 1.680 1.680 1.680
```

The calculated total energy comes out at -9.60 eV/atom. As for the space-group type: No. 216. For the mass density, the calculation gives 12.5 Mg/m³.